{
  "formula": "KDy2",
  "functional": "PBE",
  "state": "optimized geometry",
  "dft_energy_ev_per_atom": -2.871,
  "space_group": "Fd-3m (227)",
  "m_tot_mub_per_cell": 0.7,
  "cell": [[0.000, 4.983, 4.983], [4.983, 0.000, 4.983], [4.983, 4.983, 0.000]],
  "species": ["K", "K", "Dy", "Dy", "Dy", "Dy"],
  "frac_coords": [[0.125, 0.125, 0.125], [0.875, 0.875, 0.875], [0.000, 0.500, 0.500], [0.500, 0.000, 0.500], [0.500, 0.500, 0.000], [0.500, 0.500, 0.500]]
}